DFT (PBE) results for a relaxed structure of Sc2SiOs.

The uncorrected formation energy comes out at -0.436 eV per atom.

The space group is P4mm (No. 99) and the conventional cell measures 3.075, 3.075 and 7.710 Å, with angles of 90.00, 90.00 and 90.00 degrees. Symmetry generates all atoms from Sc at (0.000, 0.000, 0.000), Sc at (0.500, 0.500, 0.361), Si at (0.000, 0.000, 0.607) and Os at (0.500, 0.500, 0.764).

DFT (PBE) results for a relaxed structure of AcPrAlZn.

The formation energy comes out at -0.26 eV/atom. The excess energy over the best structure of this formula in the dataset comes out at 0.012 eV/atom.

The space group is F-43m (No. 216) and the conventional cell measures 7.693, 7.693 and 7.693 Å, with angles of 90.00, 90.00 and 90.00 degrees. Symmetry generates all atoms from Ac at (0.000, 0.000, 0.000), Pr at (0.000, 0.000, 0.500), Al at (0.250, 0.250, 0.250) and Zn at (0.250, 0.250, 0.750).

DFT (PBE) results for a relaxed structure of Sr2TlZn3Ge4.

The formation energy comes out at -0.27 eV/atom.

The space group is P-4m2 (No. 115) and the conventional cell measures 4.572, 4.572 and 10.863 Å, with angles of 90.00, 90.00 and 90.00 degrees. Symmetry generates all atoms from Sr at (0.000, 0.500, 0.237), Tl at (0.000, 0.000, 0.500), Zn at (0.000, 0.500, 0.878), Zn at (0.500, 0.500, 0.500), Ge at (0.000, 0.000, 0.000), Ge at (0.000, 0.500, 0.648) and Ge at (0.500, 0.500, 0.000).

DFT (PBE) results for a relaxed structure of InAuBr2.

The uncorrected formation energy comes out at -0.200 eV per atom. The excess energy over the best structure of this formula in the dataset comes out at 0.214 eV/atom.

The space group is R-3m (No. 166, hexagonal axes) and the conventional cell measures 4.3848, 4.3848 and 21.2849 Å, with angles of 90.00, 90.00 and 120.00 degrees. Symmetry generates all atoms from In at (0.0000, 0.0000, 0.0000), Au at (0.0000, 0.0000, 0.5000) and Br at (0.0000, 0.0000, 0.2358).

DFT (PBE) results for a relaxed structure of Tb2Tl3CuS6.

The uncorrected formation energy comes out at -0.942 eV per atom.

The space group is C2/m (No. 12) and the conventional cell measures 7.042, 11.598 and 7.812 Å, with angles of 90.00, 110.89 and 90.00 degrees. Symmetry generates all atoms from Tb at (0.000, 0.163, 0.000), Tl at (0.000, 0.000, 0.500), Tl at (0.000, 0.323, 0.500), Cu at (0.000, 0.500, 0.000), S at (0.213, 0.353, 0.178) and S at (0.230, 0.000, 0.238).

DFT (PBE) results for a relaxed structure of Hg2Pb5.

The formation energy comes out at 0.02 eV/atom.

The space group is C2/c (No. 15) and the conventional cell measures 19.192, 6.109 and 7.121 Å, with angles of 90.00, 90.32 and 90.00 degrees. Symmetry generates all atoms from Hg at (0.066, 0.108, 0.386), Pb at (0.000, 0.377, 0.750), Pb at (0.143, 0.408, 0.042) and Pb at (0.208, 0.091, 0.675).

DFT (PBE) results for a relaxed structure of CoHgP2.

The formation energy comes out at 0.68 eV/atom.

The space group is Cmmm (No. 65) and the conventional cell measures 5.304, 7.020 and 3.388 Å, with angles of 90.00, 90.00 and 90.00 degrees. Symmetry generates all atoms from Co at (0.000, 0.000, 0.000), Hg at (0.000, 0.500, 0.000) and P at (0.250, 0.250, 0.500).

DFT (PBE) results for a relaxed structure of Ba8Sb3HI4.

As for the total energy: -169.89 eV per cell.

The space group is R-3m (No. 166, hexagonal axes) and the conventional cell measures 9.9330, 9.9330 and 24.7576 Å, with angles of 90.00, 90.00 and 120.00 degrees. Symmetry generates all atoms from Ba at (0.0000, 0.0000, 0.2419), Ba at (0.0008, 0.5004, 0.7596), Sb at (0.0000, 0.5000, 0.5000), H at (0.0000, 0.0000, 0.5000), I at (0.0000, 0.0000, 0.0000) and I at (0.0000, 0.5000, 0.0000).

| no. | total magnetization (Bohr magnetons per cell) |
| --- | --- |
| 1 | 0.0 |
| 2 | 0.0 |
| 3 | 0.0 |
| 4 | 0.0 |
| 5 | 0.0 |
| 6 | 0.0 |
| 7 | 0.8 |
| 8 | 0.0 |